one.
# PmTl2Hg5 PBE relaxed
# - M_tot (μB per cell) = 0.00
# - density of states at the Fermi level (states/eV per cell) = 15.488
data_PmTl2Hg5
_chemical_formula_sum 'Pm4 Tl8 Hg20'
_cell_length_a 8.2878
_cell_length_b 8.2878
_cell_length_c 13.0568
_cell_angle_alpha 90.00
_cell_angle_beta 90.00
_cell_angle_gamma 90.00
_symmetry_space_group_name_H-M 'I 4/m c m'
_symmetry_Int_Tables_number 140
_symmetry_space_group_name_Hall '-I 4 2c'
loop_
_atom_site_label
_atom_site_type_symbol
_atom_site_fract_x
_atom_site_fract_y
_atom_site_fract_z
Pm1 Pm 0.0000 0.0000 0.2500
Tl1 Tl 0.1519 0.3481 0.0000
Hg1 Hg 0.0000 0.0000 0.0000
Hg2 Hg 0.1487 0.3513 0.3287

two.
# PmTl2Hg5 PBE relaxed
# - M_tot (μB per cell) = 0.00
# - density of states at the Fermi level (states/eV per cell) = 9.421
data_PmTl2Hg5
_chemical_formula_sum 'Pm2 Tl4 Hg10'
_cell_length_a 4.7820
_cell_length_b 4.7820
_cell_length_c 18.6890
_cell_angle_alpha 90.00
_cell_angle_beta 90.00
_cell_angle_gamma 90.00
_symmetry_space_group_name_H-M 'I 4/m m m'
_symmetry_Int_Tables_number 139
_symmetry_space_group_name_Hall '-I 4 2'
loop_
_atom_site_label
_atom_site_type_symbol
_atom_site_fract_x
_atom_site_fract_y
_atom_site_fract_z
Pm1 Pm 0.0000 0.0000 0.0000
Tl1 Tl 0.0000 0.0000 0.2460
Hg1 Hg 0.0000 0.0000 0.5000
Hg2 Hg 0.0000 0.5000 0.1209

Quick one: least stable of them? one